Pr2TiH PBE-GGA optimized geometry; space group = R-3m (166)
1.0
-3.080 1.288 -0.098
-2.166 -1.027 -2.325
-4.747 -6.644 4.957
H Pr Ti
1 2 1
Cartesian
-4.996 -3.191 1.267
-6.218 -1.921 -0.554
-3.775 -4.462 3.089
0.000 0.000 0.000

=====

PrTiH3 PBE-GGA optimized geometry; space group = Pm-3m (221)
1.0
-0.558 0.125 3.801
0.183 -3.836 0.153
3.799 0.203 0.551
H Ti Pr
3 1 1
Cartesian
1.899 0.102 0.275
0.092 -1.918 0.077
-0.279 0.063 1.901
0.000 0.000 0.000
1.712 -1.754 2.253

=====

PrTi2H8 PBE-GGA optimized geometry; space group = C2/m (12)
1.0
3.615 0.123 0.184
-0.421 5.232 -0.066
-0.421 -2.076 4.803
H Ti Pr
8 2 1
Cartesian
-0.048 1.608 0.126
2.822 3.781 3.388
1.387 3.352 1.319
1.387 -0.074 3.602
2.292 1.374 2.063
-0.048 -0.503 1.533
0.482 1.904 2.858
2.822 1.670 4.794
-0.421 2.811 1.547
-0.421 0.345 3.190
1.808 0.061 0.092

=====

PrTiH2 PBE-GGA optimized geometry; space group = R-3m (166)
1.0
3.179 0.000 0.000
1.590 2.753 0.000
1.590 0.918 5.862
H Pr Ti
2 1 1
Cartesian
1.590 0.918 0.867
4.769 2.753 4.995
3.179 1.836 2.931
0.000 0.000 0.000

=====

Pr3TlH PBE-GGA optimized geometry; space group = Cmce (64)
1.0
9.767 -0.005 0.000
-4.879 8.295 0.000
0.000 0.000 6.806
Pr H Tl
12 4 4
Cartesian
2.446 8.080 3.523
2.442 0.210 3.283
4.887 5.895 5.105
-2.439 4.894 1.711
2.445 4.892 1.692
0.001 2.396 1.702
4.885 2.393 1.702
0.003 5.897 5.105
-2.437 8.083 6.686
7.327 3.396 5.095
7.325 0.208 0.120
2.443 3.399 5.115
7.327 2.681 0.632
-2.439 5.609 6.174
2.443 2.684 2.771
2.444 5.607 4.035
4.884 1.324 5.105
4.887 6.964 1.702
0.000 1.326 5.105
0.004 6.967 1.701

=====

Pr2TlH PBE-GGA optimized geometry; space group = P4/mmm (123)
1.0
-1.503 -1.638 2.721
-2.640 -1.029 -2.078
3.913 -6.498 -1.751
H Pr Tl
1 2 1
Cartesian
-2.071 -1.334 0.322
0.841 -1.396 -0.376
3.072 -5.102 -1.375
-0.115 -4.583 -0.554

=====

Number 1: energy -0.361 Ry/atom. Number 2: energy -0.358 Ry/atom. Number 3: energy -0.344 Ry/atom. Number 4: energy -0.369 Ry/atom. Number 5: energy -0.312 Ry/atom. Number 6: energy -0.288 Ry/atom.